# 1
FeTcAg2 (GGA-PBE, relaxed); space-group type = No. 12
1.0
5.395 0.000 0.000
0.000 9.632 0.000
-0.995 0.000 2.427
Fe Tc Ag
2 2 4
Cartesian
0.000 0.000 0.000
2.698 4.816 0.000
0.000 4.816 0.000
2.698 0.000 0.000
0.851 2.408 1.213
0.851 7.224 1.213
3.549 2.408 1.213
3.549 7.224 1.213


# 2
Tl5BiAu2 (GGA-PBE, relaxed); space-group type = No. 63
1.0
2.047 -6.534 0.000
2.047 6.534 0.000
0.000 0.000 17.448
Tl Bi Au
10 2 4
Cartesian
2.047 6.478 13.086
2.047 4.471 9.504
2.047 4.471 16.668
2.047 0.831 10.354
2.047 0.831 15.818
2.047 -0.831 1.630
2.047 -0.831 7.094
2.047 -4.471 0.780
2.047 -4.471 7.944
2.047 -6.478 4.362
2.047 2.844 13.086
2.047 -2.844 4.362
2.047 2.038 2.884
2.047 2.038 5.840
2.047 -2.038 11.608
2.047 -2.038 14.564


How do the records compare in E_form? In the order shown, they have 52.8 0.8 kJ per mole of atoms.